A relaxed RePdRh6 crystal. Source: Alexandria via LeMat-Bulk, functional PBE-GGA.

a b c (Å): 3.860 3.860 7.713
angles (deg): 90.00 90.00 90.00
Atoms (fractional coordinates):
Pd 0.000 0.000 0.000
Rh 0.500 0.000 0.259
Rh 0.500 0.500 0.500
Rh 0.000 0.500 0.741
Re 0.000 0.000 0.500
Rh 0.500 0.500 0.000
Rh 0.000 0.500 0.259
Rh 0.500 0.000 0.741

Computed properties:
E_form = -0.4 eV per formula unit
space group = No. 123

A relaxed Na3Li2Ga9 crystal. Source: Alexandria via LeMat-Bulk, functional PBE-GGA.

a b c (Å): 4.407 8.409 8.409
angles (deg): 68.64 74.81 74.81
Atoms (fractional coordinates):
Ga 0.332 0.027 0.309
Li 0.500 0.311 0.689
Ga 0.000 0.500 0.500
Na 0.302 0.698 0.698
Na 0.698 0.302 0.302
Ga 0.668 0.691 0.973
Ga 0.332 0.309 0.027
Ga 0.868 0.415 0.850
Ga 0.132 0.585 0.150
Ga 0.868 0.850 0.415
Na 0.000 0.000 0.000
Li 0.500 0.689 0.311
Ga 0.668 0.973 0.691
Ga 0.132 0.150 0.585

Computed properties:
E_form = -2.6 eV per formula unit
space group = No. 71

The lowest E_form belongs to which entry?
Na3Li2Ga9